PuICl | Alexandria | PBE-GGA | relaxed; theoretical density = 6.0 g/cm3; raw formation energy = -1.42 eV per atom; VASP energy = -7.33 eV per atom; symmetry = P-1, No. 2; relative energy among the computed polymorphs = 0.0000 eV per atom
1.0
4.215 0.000 0.000
0.003 7.190 0.000
2.039 2.711 7.449
Pu I Cl
2 2 2
Direct
0.248 0.258 0.003
0.752 0.742 0.997
0.120 0.813 0.269
0.880 0.187 0.731
0.349 0.664 0.796
0.651 0.336 0.204

Na5InS4 | Alexandria | PBE-GGA | relaxed; theoretical density = 2.5 g/cm3; raw formation energy = -1.02 eV per atom; VASP energy = -3.60 eV per atom; symmetry = P2_1/m, No. 11; relative energy among the computed polymorphs = 0.0000 eV per atom
1.0
6.834 0.000 0.000
0.000 8.842 0.000
-0.155 0.000 7.880
Na In S
10 2 8
Direct
0.000 0.000 0.000
0.000 0.500 0.000
0.025 0.250 0.469
0.330 0.250 0.839
0.344 0.520 0.334
0.344 0.980 0.334
0.656 0.020 0.666
0.656 0.480 0.666
0.670 0.750 0.161
0.975 0.750 0.531
0.361 0.750 0.824
0.639 0.250 0.176
0.233 0.519 0.671
0.233 0.981 0.671
0.240 0.750 0.120
0.272 0.250 0.178
0.728 0.750 0.822
0.760 0.250 0.880
0.767 0.019 0.329
0.767 0.481 0.329

CaMo4Rh | Alexandria | PBE-GGA | relaxed; theoretical density = 8.2 g/cm3; VASP energy = -8.38 eV per atom; symmetry = F-43m, No. 216; energy of formation = 9.182 kcal/mol of atoms
1.0
0.000 3.765 3.765
3.765 0.000 3.765
3.765 3.765 0.000
Ca Mo Rh
1 4 1
Direct
0.000 0.000 0.000
0.122 0.626 0.626
0.626 0.122 0.626
0.626 0.626 0.122
0.626 0.626 0.626
0.250 0.250 0.250

DyTmAgRh | Alexandria | PBE-GGA | relaxed; theoretical density = 10.4 g/cm3; VASP energy = -5.44 eV per atom; symmetry = P4mm, No. 99; relative energy among the computed polymorphs = 0.0000 eV per atom; energy of formation = -14.265 kcal/mol of atoms
1.0
3.478 0.000 0.000
0.000 3.478 0.000
0.000 0.000 7.163
Dy Tm Ag Rh
1 1 1 1
Direct
0.000 0.000 0.000
0.000 0.000 0.542
0.500 0.500 0.278
0.500 0.500 0.766

SmDy2Er3Te6 | Alexandria | PBE-GGA | relaxed; theoretical density = 8.3 g/cm3; raw formation energy = -1.26 eV per atom; VASP energy = -5.14 eV per atom; symmetry = C2/m, No. 12
1.0
9.507 -2.162 0.000
9.507 2.162 0.000
-2.109 0.000 8.499
Sm Dy Er Te
1 2 3 6
Direct
0.000 0.000 0.000
0.336 0.336 0.671
0.664 0.664 0.329
0.000 0.000 0.500
0.336 0.336 0.168
0.664 0.664 0.832
0.167 0.167 0.584
0.171 0.171 0.082
0.500 0.500 0.257
0.500 0.500 0.743
0.829 0.829 0.918
0.833 0.833 0.416

Ba2Sn3Hg2 | Alexandria | PBE-GGA | relaxed; theoretical density = 7.6 g/cm3; VASP energy = -2.82 eV per atom; symmetry = C2/m, No. 12; relative energy among the computed polymorphs = 0.0258 eV per atom; energy of formation = -10.823 kcal/mol of atoms
1.0
6.095 -2.519 0.000
6.095 2.519 0.000
-2.810 0.000 7.346
Ba Sn Hg
2 3 2
Direct
0.144 0.144 0.283
0.856 0.856 0.717
0.401 0.401 0.068
0.500 0.500 0.500
0.599 0.599 0.932
0.163 0.163 0.757
0.837 0.837 0.243

Si2AsCl | Alexandria | PBE-GGA | relaxed; theoretical density = 3.6 g/cm3; raw formation energy = 0.42 eV per atom; VASP energy = -3.92 eV per atom; symmetry = P4/mmm, No. 123; relative energy among the computed polymorphs = 0.4680 eV per atom
1.0
3.303 0.000 0.000
0.000 3.303 0.000
0.000 0.000 7.022
Si As Cl
2 1 1
Direct
0.000 0.000 0.207
0.000 0.000 0.793
0.500 0.500 0.000
0.500 0.500 0.500

Tb4SiAsS2 | Alexandria | PBE-GGA | relaxed; theoretical density = 7.1 g/cm3; raw formation energy = -1.61 eV per atom; VASP energy = -6.22 eV per atom; symmetry = P2/m, No. 10
1.0
6.992 0.000 0.000
0.000 4.054 0.000
-2.348 0.000 6.629
Tb Si As S
4 1 1 2
Direct
0.248 0.000 0.246
0.248 0.500 0.753
0.752 0.000 0.754
0.752 0.500 0.247
0.000 0.500 0.000
0.000 0.000 0.500
0.500 0.000 0.000
0.500 0.500 0.500

Y2ReF2 | Alexandria | PBE-GGA | relaxed; theoretical density = 7.6 g/cm3; raw formation energy = -1.26 eV per atom; VASP energy = -7.09 eV per atom; symmetry = I4/mmm, No. 139; relative energy among the computed polymorphs = 0.0680 eV per atom
1.0
-2.479 2.479 3.569
2.479 -2.479 3.569
2.479 2.479 -3.569
Y Re F
2 1 2
Direct
0.250 0.750 0.500
0.750 0.250 0.500
0.000 0.000 0.000
0.305 0.305 0.000
0.695 0.695 0.000

CaNd2Hg | Alexandria | PBE-GGA | relaxed; theoretical density = 6.7 g/cm3; VASP energy = -3.17 eV per atom; symmetry = Pnma, No. 62; relative energy among the computed polymorphs = 0.0000 eV per atom; energy of formation = -4.762 kcal/mol of atoms
1.0
7.253 0.000 0.000
0.000 10.471 0.000
0.000 0.000 6.902
Ca Nd Hg
4 8 4
Direct
0.008 0.250 0.101
0.492 0.750 0.601
0.508 0.250 0.399
0.992 0.750 0.899
0.200 0.043 0.693
0.200 0.457 0.693
0.300 0.543 0.193
0.300 0.957 0.193
0.700 0.043 0.807
0.700 0.457 0.807
0.800 0.543 0.307
0.800 0.957 0.307
0.076 0.750 0.457
0.424 0.250 0.957
0.576 0.750 0.043
0.924 0.250 0.543

Pu3Al9Pt2 | Alexandria | PBE-GGA | relaxed; theoretical density = 8.7 g/cm3; VASP energy = -6.86 eV per atom; symmetry = Immm, No. 71; energy of formation = -11.984 kcal/mol of atoms
1.0
-2.170 4.861 6.206
2.170 -4.861 6.206
2.170 4.861 -6.206
Pu Al Pt
3 9 2
Direct
0.000 0.000 0.000
0.295 0.295 0.000
0.705 0.705 0.000
0.019 0.654 0.365
0.149 0.867 0.282
0.289 0.654 0.635
0.415 0.133 0.282
0.500 0.000 0.500
0.585 0.867 0.718
0.711 0.346 0.365
0.851 0.133 0.718
0.981 0.346 0.635
0.312 0.500 0.812
0.688 0.500 0.188

LiCaTiN2 | Alexandria | PBE-GGA | relaxed; theoretical density = 3.3 g/cm3; raw formation energy = 0.89 eV per atom; VASP energy = -4.80 eV per atom; symmetry = P4/mmm, No. 123
1.0
4.064 0.000 0.000
0.000 4.064 0.000
0.000 0.000 3.718
Li Ca Ti N
1 1 1 2
Direct
0.000 0.000 0.000
0.500 0.500 0.500
0.000 0.000 0.500
0.000 0.500 0.000
0.500 0.000 0.000

RePdBr6 | Alexandria | PBE-GGA | relaxed; theoretical density = 4.5 g/cm3; raw formation energy = -0.24 eV per atom; VASP energy = -3.70 eV per atom; symmetry = C2/m, No. 12
1.0
3.810 -5.609 0.000
3.810 5.609 0.000
-1.799 0.000 6.670
Re Pd Br
1 1 6
Direct
0.000 0.000 0.000
0.000 0.000 0.500
0.070 0.762 0.235
0.238 0.930 0.765
0.321 0.321 0.206
0.679 0.679 0.794
0.762 0.070 0.235
0.930 0.238 0.765

TaMo2Cl | Alexandria | PBE-GGA | relaxed; theoretical density = 10.3 g/cm3; raw formation energy = 0.80 eV per atom; VASP energy = -8.04 eV per atom; symmetry = I4/mmm, No. 139; relative energy among the computed polymorphs = 0.6197 eV per atom
1.0
-1.853 1.853 4.783
1.853 -1.853 4.783
1.853 1.853 -4.783
Ta Mo Cl
1 2 1
Direct
0.000 0.000 0.000
0.250 0.750 0.500
0.750 0.250 0.500
0.500 0.500 0.000

Cr2Tc2Pb | Alexandria | PBE-GGA | relaxed; theoretical density = 10.6 g/cm3; VASP energy = -8.23 eV per atom; symmetry = P4/mbm, No. 127; relative energy among the computed polymorphs = 0.0410 eV per atom; energy of formation = 11.805 kcal/mol of atoms
1.0
7.433 0.000 0.000
0.000 7.433 0.000
0.000 0.000 2.875
Cr Tc Pb
4 4 2
Direct
0.146 0.354 0.000
0.354 0.854 0.000
0.646 0.146 0.000
0.854 0.646 0.000
0.134 0.634 0.500
0.366 0.134 0.500
0.634 0.866 0.500
0.866 0.366 0.500
0.000 0.000 0.500
0.500 0.500 0.500

LiPuGePb | Alexandria | PBE-GGA | relaxed; theoretical density = 9.5 g/cm3; VASP energy = -6.32 eV per atom; symmetry = F-43m, No. 216; energy of formation = -4.025 kcal/mol of atoms
1.0
0.000 3.599 3.599
3.599 0.000 3.599
3.599 3.599 0.000
Li Pu Ge Pb
1 1 1 1
Direct
0.000 0.000 0.000
0.500 0.500 0.500
0.250 0.250 0.250
0.750 0.750 0.750

TiNbSnW | Alexandria | PBE-GGA | relaxed; theoretical density = 10.3 g/cm3; VASP energy = -8.73 eV per atom; symmetry = F-43m, No. 216; energy of formation = -0.074 kcal/mol of atoms
1.0
0.000 3.290 3.290
3.290 0.000 3.290
3.290 3.290 0.000
Ti Nb Sn W
1 1 1 1
Direct
0.000 0.000 0.000
0.500 0.500 0.500
0.250 0.250 0.250
0.750 0.750 0.750

SnSbI | Alexandria | PBE-GGA | relaxed; theoretical density = 5.0 g/cm3; raw formation energy = -0.16 eV per atom; VASP energy = -3.39 eV per atom; symmetry = Pnnm, No. 58; relative energy among the computed polymorphs = 0.0000 eV per atom
1.0
6.404 0.000 0.000
0.000 17.083 0.000
0.000 0.000 4.480
Sn Sb I
4 4 4
Direct
0.017 0.205 0.000
0.483 0.705 0.500
0.517 0.295 0.500
0.983 0.795 0.000
0.231 0.654 0.000
0.269 0.154 0.500
0.731 0.846 0.500
0.769 0.346 0.000
0.221 0.417 0.500
0.279 0.917 0.000
0.721 0.083 0.000
0.779 0.583 0.500

LuNiB | Alexandria | PBE-GGA | relaxed; theoretical density = 9.7 g/cm3; VASP energy = -6.10 eV per atom; symmetry = P-6m2, No. 187; energy of formation = -10.036 kcal/mol of atoms
1.0
3.636 0.000 0.000
-1.818 3.149 0.000
0.000 0.000 3.666
Lu Ni B
1 1 1
Direct
0.000 0.000 0.000
0.667 0.333 0.500
0.333 0.667 0.500

Pm7HoTl2 | Alexandria | PBE-GGA | relaxed; theoretical density = 6.6 g/cm3; VASP energy = -3.92 eV per atom; symmetry = Cmmm, No. 65; energy of formation = 7.852 kcal/mol of atoms
1.0
4.675 -8.040 0.000
4.675 8.040 0.000
0.000 0.000 5.349
Pm Ho Tl
7 1 2
Direct
0.000 0.000 0.000
0.200 0.437 0.000
0.277 0.723 0.500
0.437 0.200 0.000
0.563 0.800 0.000
0.723 0.277 0.500
0.800 0.563 0.000
0.500 0.500 0.500
0.193 0.807 0.000
0.807 0.193 0.000

Ca5In2N | Alexandria | PBE-GGA | relaxed; theoretical density = 3.3 g/cm3; raw formation energy = -0.51 eV per atom; VASP energy = -3.48 eV per atom; symmetry = Pnma, No. 62
1.0
8.889 0.000 0.000
0.000 7.037 0.000
0.000 0.000 14.455
Ca In N
20 8 4
Direct
0.000 0.000 0.000
0.000 0.500 0.000
0.023 0.250 0.197
0.167 0.503 0.615
0.167 0.997 0.615
0.206 0.750 0.407
0.294 0.250 0.907
0.333 0.003 0.115
0.333 0.497 0.115
0.477 0.750 0.697
0.500 0.000 0.500
0.500 0.500 0.500
0.523 0.250 0.303
0.667 0.503 0.885
0.667 0.997 0.885
0.706 0.750 0.093
0.794 0.250 0.593
0.833 0.003 0.385
0.833 0.497 0.385
0.977 0.750 0.803
0.017 0.750 0.213
0.172 0.250 0.409
0.328 0.750 0.909
0.483 0.250 0.713
0.517 0.750 0.287
0.672 0.250 0.091
0.828 0.750 0.591
0.983 0.250 0.787
0.173 0.250 0.061
0.327 0.750 0.561
0.673 0.250 0.439
0.827 0.750 0.939

SiPRu2 | Alexandria | PBE-GGA | relaxed; theoretical density = 8.4 g/cm3; raw formation energy = -0.37 eV per atom; VASP energy = -7.71 eV per atom; symmetry = Fm-3m, No. 225; relative energy among the computed polymorphs = 0.1095 eV per atom
1.0
0.000 2.950 2.950
2.950 0.000 2.950
2.950 2.950 0.000
Si P Ru
1 1 2
Direct
0.000 0.000 0.000
0.500 0.500 0.500
0.250 0.250 0.250
0.750 0.750 0.750

TeSCl2F | Alexandria | PBE-GGA | relaxed; theoretical density = 3.8 g/cm3; raw formation energy = 0.32 eV per atom; VASP energy = -2.24 eV per atom; symmetry = P4/mmm, No. 123; relative energy among the computed polymorphs = 0.2445 eV per atom
1.0
5.511 0.000 0.000
0.000 5.511 0.000
0.000 0.000 3.600
Te S Cl F
1 1 2 1
Direct
0.000 0.000 0.000
0.500 0.500 0.000
0.000 0.500 0.500
0.500 0.000 0.500
0.500 0.500 0.500

Tl4CoCu | Alexandria | PBE-GGA | relaxed; theoretical density = 9.2 g/cm3; VASP energy = -2.49 eV per atom; symmetry = F-43m, No. 216; energy of formation = 21.907 kcal/mol of atoms
1.0
0.000 4.394 4.394
4.394 0.000 4.394
4.394 4.394 0.000
Tl Co Cu
4 1 1
Direct
0.125 0.125 0.125
0.125 0.125 0.625
0.125 0.625 0.125
0.625 0.125 0.125
0.750 0.750 0.750
0.500 0.500 0.500